Entry i
VASP calculation (PBE-GGA) on a relaxed structure of Tb2HoIn3.

Values from the calculation:
Total moment, Bohr magnetons per cell: 0.00
Calculated density, Mg/m³: 8.6
Crystal system: tetragonal

POSCAR file:
```
Tb2HoIn3
1.0
-1.140 -2.929 2.032
2.964 0.407 2.249
-6.041 6.997 6.695
In Tb Ho
3 2 1
direct
0.000 0.000 0.664 In
0.000 0.000 0.336 In
0.000 0.000 0.000 In
0.500 0.500 0.832 Tb
0.500 0.500 0.168 Tb
0.500 0.500 0.500 Ho
```

=====

Entry ii
VASP calculation (PBE-GGA) on a relaxed structure of Tb2HoIn3.

Values from the calculation:
Total moment, Bohr magnetons per cell: 0.05
Calculated density, Mg/m³: 8.0
Crystal system: orthorhombic

POSCAR file:
```
Tb2HoIn3
1.0
3.600 0.000 0.000
0.000 6.542 0.000
-1.800 0.000 14.562
Tb In Ho
4 6 2
direct
0.004 0.250 0.008 Tb
0.849 0.250 0.698 Tb
0.151 0.750 0.302 Tb
0.996 0.750 0.992 Tb
0.258 0.250 0.515 In
0.576 0.994 0.153 In
0.424 0.494 0.847 In
0.576 0.506 0.153 In
0.742 0.750 0.485 In
0.424 0.006 0.847 In
0.669 0.250 0.339 Ho
0.331 0.750 0.661 Ho
```

=====

The winner here is entry i, beating the second structure by 160 meV/atom.

=====

Entry i
VASP calculation (PBE-GGA) on a relaxed structure of Tb7Ho4In.

Values from the calculation:
Total moment, Bohr magnetons per cell: 0.00
Calculated density, Mg/m³: 7.9
Crystal system: monoclinic

POSCAR file:
```
Tb7Ho4In
1.0
-1.859 4.021 -3.848
-11.332 0.994 2.041
-0.186 6.327 2.228
Tb Ho In
7 4 1
direct
0.202 0.080 0.517 Tb
0.368 0.474 0.790 Tb
0.500 0.000 0.000 Tb
0.096 0.723 0.086 Tb
0.798 0.920 0.483 Tb
0.632 0.526 0.210 Tb
0.904 0.277 0.914 Tb
0.635 0.230 0.499 Ho
0.145 0.378 0.332 Ho
0.855 0.622 0.668 Ho
0.365 0.770 0.501 Ho
0.000 0.000 0.000 In
```

=====

Entry ii
VASP calculation (PBE-GGA) on a relaxed structure of Tb7Ho4In.

Values from the calculation:
Total moment, Bohr magnetons per cell: 0.00
Calculated density, Mg/m³: 8.4
Crystal system: triclinic

POSCAR file:
```
Tb7Ho4In
1.0
-4.564 4.304 2.304
-4.912 -1.616 -3.950
-0.819 -5.849 6.656
Tb In Ho
7 1 4
direct
0.500 0.000 0.000 Tb
0.753 0.464 0.954 Tb
0.108 0.154 0.682 Tb
0.247 0.536 0.046 Tb
0.892 0.846 0.318 Tb
0.599 0.193 0.610 Tb
0.401 0.807 0.390 Tb
0.000 0.000 0.000 In
0.307 0.631 0.712 Ho
0.799 0.693 0.657 Ho
0.201 0.307 0.343 Ho
0.693 0.369 0.288 Ho
```

=====

The winner here is entry ii, beating the second structure by 210 meV/atom.

=====

Entry i
VASP calculation (PBE-GGA) on a relaxed structure of TbHoTmIn.

Values from the calculation:
Total moment, Bohr magnetons per cell: 0.71
Calculated density, Mg/m³: 8.9
Crystal system: cubic

POSCAR file:
```
TbHoTmIn
1.0
-3.805 -0.087 3.864
-3.807 -3.863 -0.029
0.058 -3.892 3.776
In Tm Tb Ho
1 1 1 1
direct
0.250 0.250 0.250 In
0.750 0.750 0.750 Tm
0.000 0.000 0.000 Tb
0.500 0.500 0.500 Ho
```

=====

Entry ii
VASP calculation (PBE-GGA) on a relaxed structure of TbHoTmIn.

Values from the calculation:
Total moment, Bohr magnetons per cell: 0.00
Calculated density, Mg/m³: 9.0
Crystal system: orthorhombic

POSCAR file:
```
TbHoTmIn
1.0
-2.780 -0.257 3.928
3.819 -1.355 2.614
0.965 4.623 0.986
Tb In Ho Tm
1 1 1 1
direct
0.000 0.500 0.500 Tb
0.500 0.500 0.000 In
0.000 0.000 0.000 Ho
0.500 0.000 0.500 Tm
```

=====

The winner here is entry ii, beating the second structure by 128 meV/atom.

=====

Entry i
VASP calculation (PBE-GGA) on a relaxed structure of TbHoZnIn.

Values from the calculation:
Total moment, Bohr magnetons per cell: 0.00
Calculated density, Mg/m³: 8.4
Crystal system: cubic

POSCAR file:
```
TbHoZnIn
1.0
-1.329 -4.728 -1.704
3.003 -4.098 1.100
-1.652 -3.605 3.361
Zn Ho Tb In
1 1 1 1
direct
0.000 0.000 0.000 Zn
0.250 0.250 0.250 Ho
0.750 0.750 0.750 Tb
0.500 0.500 0.500 In
```

=====

Entry ii
VASP calculation (PBE-GGA) on a relaxed structure of TbHoZnIn.

Values from the calculation:
Total moment, Bohr magnetons per cell: 0.00
Calculated density, Mg/m³: 8.5
Crystal system: tetragonal

POSCAR file:
```
TbHoZnIn
1.0
3.639 0.000 0.000
0.000 3.639 0.000
0.000 0.000 7.437
In Tb Ho Zn
1 1 1 1
direct
0.500 0.500 0.110 In
0.000 0.000 0.838 Tb
0.000 0.000 0.377 Ho
0.500 0.500 0.603 Zn
```

=====

The winner here is entry ii, beating the second structure by 21 meV/atom.

=====

Entry i
VASP calculation (PBE-GGA) on a relaxed structure of Ho2ThIn.

Values from the calculation:
Total moment, Bohr magnetons per cell: 0.00
Calculated density, Mg/m³: 9.7
Crystal system: tetragonal

POSCAR file:
```
Ho2ThIn
1.0
4.794 0.000 0.000
0.000 4.905 0.000
0.000 0.000 4.905
Ho In Th
2 1 1
direct
0.000 0.500 0.000 Ho
0.000 0.000 0.500 Ho
0.500 0.500 0.500 In
0.500 0.000 0.000 Th
```

=====

Entry ii
VASP calculation (PBE-GGA) on a relaxed structure of Ho2ThIn.

Values from the calculation:
Total moment, Bohr magnetons per cell: 0.00
Calculated density, Mg/m³: 9.8
Crystal system: tetragonal

POSCAR file:
```
Ho2ThIn
1.0
-3.075 -1.575 -0.895
-0.609 -0.762 3.433
-4.324 7.884 0.983
Th Ho In
1 2 1
direct
0.500 0.500 0.500 Th
0.000 0.000 0.768 Ho
0.000 0.000 0.232 Ho
0.500 0.500 0.000 In
```

=====

The winner here is entry ii, beating the second structure by 40 meV/atom.

=====

Entry i
VASP calculation (PBE-GGA) on a relaxed structure of Ho2ThIn.

Values from the calculation:
Total moment, Bohr magnetons per cell: 0.55
Calculated density, Mg/m³: 9.8
Crystal system: cubic

POSCAR file:
```
Ho2ThIn
1.0
-5.173 -0.698 1.549
-2.161 -4.997 0.101
-1.117 -2.387 4.765
Ho In Th
2 1 1
direct
0.250 0.250 0.250 Ho
0.750 0.750 0.750 Ho
0.000 0.000 0.000 In
0.500 0.500 0.500 Th
```

=====

Entry ii
VASP calculation (PBE-GGA) on a relaxed structure of Ho2ThIn.

Values from the calculation:
Total moment, Bohr magnetons per cell: 0.00
Calculated density, Mg/m³: 9.5
Crystal system: trigonal

POSCAR file:
```
Ho2ThIn
1.0
-0.165 -1.919 2.982
2.790 -1.946 1.016
4.692 7.121 6.956
Th In Ho
1 1 2
direct
0.500 0.500 0.500 Th
0.000 0.000 0.000 In
0.253 0.253 0.241 Ho
0.747 0.747 0.759 Ho
```

=====

Entry iii
VASP calculation (PBE-GGA) on a relaxed structure of Ho2ThIn.

Values from the calculation:
Total moment, Bohr magnetons per cell: 0.00
Calculated density, Mg/m³: 9.4
Crystal system: trigonal

POSCAR file:
```
Ho2ThIn
1.0
3.552 0.000 0.000
1.776 3.076 0.000
1.776 1.025 10.942
Ho In Th
2 1 1
direct
0.078 0.078 0.766 Ho
0.256 0.256 0.233 Ho
0.666 0.666 0.001 In
0.500 0.500 0.500 Th
```

=====

The winner here is entry ii, beating the second structure by 46 meV/atom.

=====

Entry i
VASP calculation (PBE-GGA) on a relaxed structure of Ho4ThIn2.

Values from the calculation:
Total moment, Bohr magnetons per cell: 0.00
Calculated density, Mg/m³: 8.0
Crystal system: trigonal

POSCAR file:
```
Ho4ThIn2
1.0
-5.037 -0.129 0.849
-2.985 -3.064 -2.796
-1.330 -8.604 6.181
Ho Th In
4 1 2
direct
0.706 0.706 0.883 Ho
0.294 0.294 0.117 Ho
0.888 0.888 0.336 Ho
0.112 0.112 0.664 Ho
0.500 0.500 0.500 Th
0.602 0.602 0.194 In
0.398 0.398 0.806 In
```

=====

Entry ii
VASP calculation (PBE-GGA) on a relaxed structure of Ho4ThIn2.

Values from the calculation:
Total moment, Bohr magnetons per cell: 0.00
Calculated density, Mg/m³: 8.7
Crystal system: orthorhombic

POSCAR file:
```
Ho4ThIn2
1.0
4.831 0.000 0.000
0.000 6.496 -1.703
0.000 0.554 6.693
In Ho Th
2 4 1
direct
0.000 0.726 0.274 In
0.000 0.274 0.726 In
0.000 0.207 0.207 Ho
0.000 0.793 0.793 Ho
0.500 0.000 0.500 Ho
0.500 0.500 0.000 Ho
0.500 0.500 0.500 Th
```

=====

The winner here is entry ii, beating the second structure by 232 meV/atom.

=====

Entry i
VASP calculation (PBE-GGA) on a relaxed structure of HoTh3In4.

Values from the calculation:
Total moment, Bohr magnetons per cell: 0.00
Calculated density, Mg/m³: 9.7
Crystal system: orthorhombic

POSCAR file:
```
HoTh3In4
1.0
-5.448 4.062 0.330
-4.076 -5.372 -1.177
-0.627 -1.618 9.561
In Th Ho
8 6 2
direct
0.315 0.501 0.000 In
0.064 0.262 0.750 In
0.814 0.999 0.500 In
0.815 0.499 0.500 In
0.564 0.738 0.750 In
0.064 0.262 0.250 In
0.564 0.738 0.250 In
0.314 0.001 0.000 In
0.564 0.237 0.750 Th
0.064 0.763 0.250 Th
0.064 0.763 0.750 Th
0.814 0.000 0.000 Th
0.564 0.237 0.250 Th
0.314 0.000 0.500 Th
0.315 0.500 0.500 Ho
0.815 0.500 0.000 Ho
```

=====

Entry ii
VASP calculation (PBE-GGA) on a relaxed structure of HoTh3In4.

Values from the calculation:
Total moment, Bohr magnetons per cell: 0.38
Calculated density, Mg/m³: 9.6
Crystal system: orthorhombic

POSCAR file:
```
HoTh3In4
1.0
3.325 0.000 0.000
0.000 5.859 0.000
0.000 0.000 11.699
Ho Th In
1 3 4
direct
0.500 0.500 0.000 Ho
0.500 0.000 0.249 Th
0.500 0.500 0.500 Th
0.500 0.000 0.751 Th
0.000 0.500 0.757 In
0.000 0.000 0.500 In
0.000 0.500 0.243 In
0.000 0.000 0.000 In
```

=====

The winner here is entry ii, beating the second structure by 30 meV/atom.